# 1
The following is a DFT calculation (PBE) of crystalline V2TcGe at its relaxed geometry.

Cell: 3.8738 3.7812 3.7812 Å, 90.00 90.00 90.00°
With the nearest neighbours (Å) after each atom.
Atoms (fractional coordinates):
Ge 0.5000 0.5000 0.5000  4 Tc 2.67, 8 V 2.71
Tc 0.5000 0.0000 0.0000  4 Ge 2.67, 8 V 2.71
V 0.0000 0.0000 0.5000  4 V 2.67, 4 Ge 2.71, 4 Tc 2.71
V 0.0000 0.5000 0.0000  4 V 2.67, 4 Ge 2.71, 4 Tc 2.71

Output
- E (eV/atom) = -8.523
- spin magnetization (μB per formula unit) = 0.0
- space group = P4/mmm (123)
- crystal system = tetragonal

# 2
The following is a DFT calculation (PBE) of crystalline V2TcGe at its relaxed geometry.

Cell: 6.8591 6.8591 5.5031 Å, 51.45 51.45 90.00°
With the nearest neighbours (Å) after each atom.
Atoms (fractional coordinates):
Ge 0.5000 0.5000 0.0000  2 Tc 2.60, 4 V 2.61
Ge 0.2500 0.7500 0.5000  2 Tc 2.60, 4 V 2.61
Tc 0.0000 0.0000 0.0000  4 V 2.42, 2 Ge 2.60
Tc 0.7500 0.2500 0.5000  4 V 2.42, 2 Ge 2.60
V 0.6449 0.1250 0.2500  2 Tc 2.42, 2 Ge 2.61, 2 V 2.61
V 0.1051 0.6250 0.2500  2 Tc 2.42, 2 Ge 2.61, 2 V 2.61
V 0.3750 0.3551 0.7500  2 Tc 2.42, 2 Ge 2.61, 2 V 2.61
V 0.8750 0.8949 0.7500  2 Tc 2.42, 2 Ge 2.61, 2 V 2.61

Output
- E (eV/atom) = -7.934
- spin magnetization (μB per formula unit) = 0.0
- space group = I-42d (122)
- crystal system = tetragonal

# 3
The following is a DFT calculation (PBE) of crystalline VTc3Ge at its relaxed geometry.

Cell: 4.5003 4.5003 4.5003 Å, 90.00 90.00 90.00°
With the nearest neighbours (Å) after each atom.
Atoms (fractional coordinates):
Ge 0.0000 0.0000 0.0000  6 Tc 2.25
Tc 0.0000 0.5000 0.0000  2 Ge 2.25
Tc 0.0000 0.0000 0.5000  2 Ge 2.25
Tc 0.5000 0.0000 0.0000  2 Ge 2.25
V 0.5000 0.5000 0.5000  12 Tc 3.18

Output
- offset from the most stable computed form (eV per formula unit) = 0.27
- E (eV/atom) = -7.677
- spin magnetization (μB per formula unit) = 0.5
- space group = Pm-3m (221)
- crystal system = cubic